ZrTi4In2 | GGA-PBE | optimized geometry Values from VASP.

```
&SYSTEM
  ibrav = 0, nat = 7, ntyp = 3
/
ATOMIC_SPECIES
Ti 47.87 Ti.upf
In 114.82 In.upf
Zr 91.22 Zr.upf
ATOMIC_POSITIONS angstrom
Ti 2.280 2.280 4.840
In 2.280 2.280 2.050
Zr 0.000 0.000 0.000
Ti 2.280 0.000 0.000
In 0.000 0.000 5.581
Ti 0.000 0.000 2.790
Ti 0.000 2.280 0.000
CELL_PARAMETERS angstrom
4.561 0.000 0.000
0.000 4.561 0.000
-2.280 -2.280 7.631
```

Calculated formation energy (meV/atom): 820